Computed, not measured: a relaxed Sr2La2CrNiO8 crystal at the PBE+U level of DFT.

Properties
Magnetic moment in μB per atom: 0.286
Electronic total energy in eV per formula unit: -98.8

Cell: 6.842 6.842 5.535 Å, 90.00 90.00 132.66°
Atoms (fractional coordinates):
Sr: 0.856 0.144 0.500
Sr: 0.643 0.357 0.000
La: 0.362 0.638 0.000
La: 0.136 0.864 0.500
Cr: 0.504 0.496 0.500
Ni: 0.999 0.001 0.000
O: 0.744 0.744 0.258
O: 0.256 0.256 0.742
O: 0.744 0.744 0.742
O: 0.256 0.256 0.258
O: 0.177 0.823 0.000
O: 0.658 0.342 0.500
O: 0.330 0.670 0.500
O: 0.833 0.167 0.000